A geometry-optimized Sr2ZrPt2 structure, computed with PBE.

Properties
Space-group type: No. 127
ΔH_f (0 K) in kJ/mol of formula units: -296
Calculated total energy in eV/atom: -5.4128

abc: 7.2215 7.2215 4.9437
angles: 90.00 90.00 90.00
Last column: nearest neighbours and their distance in Å.
Sites, in units of the cell vectors:
Sr 0.1716 0.3284 0.0000  6 Pt 3.15-3.34, 1 Sr 3.50
Sr 0.3284 0.8284 0.0000  6 Pt 3.15-3.34, 1 Sr 3.50
Sr 0.6716 0.1716 0.0000  6 Pt 3.15-3.34, 1 Sr 3.50
Sr 0.8284 0.6716 0.0000  6 Pt 3.15-3.34, 1 Sr 3.50
Zr 0.0000 0.0000 0.5000  4 Pt 2.80
Zr 0.5000 0.5000 0.5000  4 Pt 2.80
Pt 0.1369 0.6369 0.5000  1 Pt 2.80, 2 Zr 2.80
Pt 0.3631 0.1369 0.5000  1 Pt 2.80, 2 Zr 2.80
Pt 0.6369 0.8631 0.5000  1 Pt 2.80, 2 Zr 2.80
Pt 0.8631 0.3631 0.5000  1 Pt 2.80, 2 Zr 2.80